(i)
Compound: LiScAs
Source: Alexandria via LeMat-Bulk
Functional: PBE
Structure: optimized geometry

Unit cell a=4.0210 b=4.0210 c=3.6852 alpha=90.00 beta=90.00 gamma=120.00
With the nearest neighbours (Å) after each atom.
Sites, in units of the cell vectors:
1 Li 0.0000 0.0000 0.0000  3 As 2.32
2 Sc 0.3333 0.6667 0.5000  6 Li 2.96, 6 As 2.96
3 As 0.6667 0.3333 0.0000  3 Li 2.32

Output
**Total magnetization**: 0.001 μB/cell
**Volume**: 17.20 Å³/atom

(ii)
Compound: LiScAs
Source: Alexandria via LeMat-Bulk
Functional: PBE
Structure: optimized geometry

Unit cell a=9.0919 b=4.2863 c=6.2661 alpha=90.00 beta=90.00 gamma=90.00
With the nearest neighbours (Å) after each atom.
Sites, in units of the cell vectors:
1 Li 0.0932 0.2500 0.0302  3 As 2.61-2.66, 2 Li 2.76
2 Li 0.4068 0.7500 0.5302  3 As 2.61-2.66, 2 Li 2.76
3 Li 0.5932 0.2500 0.4698  3 As 2.61-2.66, 2 Li 2.76
4 Li 0.9068 0.7500 0.9698  3 As 2.61-2.66, 2 Li 2.76
5 Sc 0.1450 0.2500 0.5252  4 As 2.65-2.71
6 Sc 0.3550 0.7500 0.0252  4 As 2.65-2.71
7 Sc 0.6450 0.2500 0.9748  4 As 2.65-2.71
8 Sc 0.8550 0.7500 0.4748  4 As 2.65-2.71
9 As 0.1160 0.7500 0.2664  3 Li 2.61-2.66, 4 Sc 2.65-2.71
10 As 0.3840 0.2500 0.7664  3 Li 2.61-2.66, 4 Sc 2.65-2.71
11 As 0.6160 0.7500 0.2336  3 Li 2.61-2.66, 4 Sc 2.65-2.71
12 As 0.8840 0.2500 0.7336  3 Li 2.61-2.66, 4 Sc 2.65-2.71

Output
**Total magnetization**: 0.000 μB/cell
**Volume**: 20.35 Å³/atom

Stability summary: most stable (ii), least stable (i).

(i)
Compound: LiScAs
Source: Alexandria via LeMat-Bulk
Functional: PBE
Structure: optimized geometry

Unit cell a=6.2100 b=6.2100 c=6.2100 alpha=90.00 beta=90.00 gamma=90.00
With the nearest neighbours (Å) after each atom.
Sites, in units of the cell vectors:
1 Li 0.0000 0.0000 0.0000  4 As 2.69
2 Li 0.0000 0.5000 0.5000  4 As 2.69
3 Li 0.5000 0.0000 0.5000  4 As 2.69
4 Li 0.5000 0.5000 0.0000  4 As 2.69
5 Sc 0.0000 0.0000 0.5000  4 As 2.69
6 Sc 0.0000 0.5000 0.0000  4 As 2.69
7 Sc 0.5000 0.0000 0.0000  4 As 2.69
8 Sc 0.5000 0.5000 0.5000  4 As 2.69
9 As 0.2500 0.2500 0.2500  4 Li 2.69, 4 Sc 2.69
10 As 0.2500 0.7500 0.7500  4 Li 2.69, 4 Sc 2.69
11 As 0.7500 0.2500 0.7500  4 Li 2.69, 4 Sc 2.69
12 As 0.7500 0.7500 0.2500  4 Li 2.69, 4 Sc 2.69

Output
**Total magnetization**: 0.001 μB/cell
**Volume**: 19.96 Å³/atom

(ii)
Compound: LiScAs
Source: Alexandria via LeMat-Bulk
Functional: PBE
Structure: optimized geometry

Unit cell a=3.7225 b=3.7225 c=7.8875 alpha=90.00 beta=90.00 gamma=90.00
With the nearest neighbours (Å) after each atom.
Sites, in units of the cell vectors:
1 Li 0.0000 0.0000 0.0000  1 As 2.47, 1 Sc 2.63
2 Li 0.5000 0.5000 0.5000  1 As 2.47, 1 Sc 2.63
3 Sc 0.0000 0.0000 0.3336  5 Li 2.63-2.94, 5 As 2.79-2.88
4 Sc 0.5000 0.5000 0.8336  5 Li 2.63-2.94, 5 As 2.79-2.88
5 As 0.0000 0.0000 0.6869  1 Li 2.47
6 As 0.5000 0.5000 0.1869  1 Li 2.47

Output
**Total magnetization**: 0.871 μB/cell
**Volume**: 18.22 Å³/atom

(iii)
Compound: LiScAs
Source: Alexandria via LeMat-Bulk
Functional: PBE
Structure: optimized geometry

Unit cell a=6.3172 b=6.3172 c=6.3172 alpha=90.00 beta=90.00 gamma=90.00
With the nearest neighbours (Å) after each atom.
Sites, in units of the cell vectors:
1 Li 0.0000 0.0000 0.0000  4 Sc 2.74
2 Li 0.0000 0.5000 0.5000  4 Sc 2.74
3 Li 0.5000 0.0000 0.5000  4 Sc 2.74
4 Li 0.5000 0.5000 0.0000  4 Sc 2.74
5 Sc 0.2500 0.2500 0.2500  4 As 2.74, 4 Li 2.74
6 Sc 0.2500 0.7500 0.7500  4 As 2.74, 4 Li 2.74
7 Sc 0.7500 0.2500 0.7500  4 As 2.74, 4 Li 2.74
8 Sc 0.7500 0.7500 0.2500  4 As 2.74, 4 Li 2.74
9 As 0.0000 0.0000 0.5000  4 Sc 2.74
10 As 0.0000 0.5000 0.0000  4 Sc 2.74
11 As 0.5000 0.0000 0.0000  4 Sc 2.74
12 As 0.5000 0.5000 0.5000  4 Sc 2.74

Output
**Total magnetization**: 0.000 μB/cell
**Volume**: 21.01 Å³/atom

Stability summary: most stable (i), least stable (iii).

(i)
Compound: LiScAs3
Source: Alexandria via LeMat-Bulk
Functional: PBE
Structure: optimized geometry

Unit cell a=4.5923 b=4.5923 c=4.5923 alpha=90.00 beta=90.00 gamma=90.00
With the nearest neighbours (Å) after each atom.
Sites, in units of the cell vectors:
1 Li 0.0000 0.0000 0.0000  6 As 2.30
2 Sc 0.5000 0.5000 0.5000  12 As 3.25
3 As 0.0000 0.0000 0.5000  2 Li 2.30
4 As 0.0000 0.5000 0.0000  2 Li 2.30
5 As 0.5000 0.0000 0.0000  2 Li 2.30

Output
**Total magnetization**: 0.000 μB/cell
**Volume**: 19.37 Å³/atom

(ii)
Compound: LiScAs3
Source: Alexandria via LeMat-Bulk
Functional: PBE
Structure: optimized geometry

Unit cell a=5.1166 b=5.1166 c=5.1166 alpha=90.00 beta=90.00 gamma=90.00
With the nearest neighbours (Å) after each atom.
Sites, in units of the cell vectors:
1 Li 0.0000 0.0000 0.0000  12 As 3.62
2 Sc 0.5000 0.5000 0.5000  6 As 2.56
3 As 0.0000 0.5000 0.5000  2 Sc 2.56
4 As 0.5000 0.0000 0.5000  2 Sc 2.56
5 As 0.5000 0.5000 0.0000  2 Sc 2.56

Output
**Total magnetization**: 0.000 μB/cell
**Volume**: 26.79 Å³/atom

Stability summary: most stable (ii), least stable (i).

(i)
Compound: LiScAs2Se
Source: Alexandria via LeMat-Bulk
Functional: PBE
Structure: optimized geometry

Unit cell a=4.4008 b=4.4008 c=5.1225 alpha=90.00 beta=90.00 gamma=90.00
With the nearest neighbours (Å) after each atom.
Sites, in units of the cell vectors:
1 Li 0.0000 0.0000 0.0000  4 As 2.20
2 Sc 0.5000 0.5000 0.5000  4 Se 3.11, 8 As 3.38
3 As 0.0000 0.5000 0.0000  2 Li 2.20
4 As 0.5000 0.0000 0.0000  2 Li 2.20
5 Se 0.0000 0.0000 0.5000  2 Li 2.56

Output
**Total magnetization**: 0.000 μB/cell
**Volume**: 19.84 Å³/atom

(ii)
Compound: LiScAs2Se
Source: Alexandria via LeMat-Bulk
Functional: PBE
Structure: optimized geometry

Unit cell a=5.1228 b=5.1228 c=5.2063 alpha=90.00 beta=90.00 gamma=90.00
With the nearest neighbours (Å) after each atom.
Sites, in units of the cell vectors:
1 Li 0.0000 0.0000 0.0000  4 Se 3.62, 8 As 3.65
2 Sc 0.5000 0.5000 0.5000  4 As 2.56, 2 Se 2.60
3 As 0.0000 0.5000 0.5000  2 Sc 2.56
4 As 0.5000 0.0000 0.5000  2 Sc 2.56
5 Se 0.5000 0.5000 0.0000  2 Sc 2.60

Output
**Total magnetization**: 0.000 μB/cell
**Volume**: 27.33 Å³/atom

Stability summary: most stable (ii), least stable (i).

(i)
Compound: Li2AsSe
Source: Alexandria via LeMat-Bulk
Functional: PBE
Structure: optimized geometry

Unit cell a=3.1535 b=3.1535 c=24.2153 alpha=90.00 beta=90.00 gamma=120.00
With the nearest neighbours (Å) after each atom.
Sites, in units of the cell vectors:
1 Li 0.0000 0.0000 0.2478  3 Se 2.68, 3 As 2.76
2 Li 0.0000 0.0000 0.7522  3 Se 2.68, 3 As 2.76
3 Li 0.3333 0.6667 0.4189  3 Se 2.68, 3 As 2.76
4 Li 0.3333 0.6667 0.9144  3 Se 2.68, 3 As 2.76
5 Li 0.6667 0.3333 0.0856  3 Se 2.68, 3 As 2.76
6 Li 0.6667 0.3333 0.5811  3 Se 2.68, 3 As 2.76
7 As 0.0000 0.0000 0.0000  6 Li 2.76
8 As 0.3333 0.6667 0.6667  6 Li 2.76
9 As 0.6667 0.3333 0.3333  6 Li 2.76
10 Se 0.0000 0.0000 0.5000  6 Li 2.68
11 Se 0.3333 0.6667 0.1667  6 Li 2.68
12 Se 0.6667 0.3333 0.8333  6 Li 2.68

Output
**Total magnetization**: 0.922 μB/cell
**Volume**: 17.38 Å³/atom

(ii)
Compound: Li2AsSe
Source: Alexandria via LeMat-Bulk
Functional: PBE
Structure: optimized geometry

Unit cell a=4.1724 b=4.1724 c=7.8501 alpha=90.00 beta=90.00 gamma=90.00
With the nearest neighbours (Å) after each atom.
Sites, in units of the cell vectors:
1 Li 0.0000 0.5000 0.2500  4 As 2.86, 4 Se 2.86, 4 Li 2.95
2 Li 0.0000 0.5000 0.7500  4 As 2.86, 4 Se 2.86, 4 Li 2.95
3 Li 0.5000 0.0000 0.2500  4 As 2.86, 4 Se 2.86, 4 Li 2.95
4 Li 0.5000 0.0000 0.7500  4 As 2.86, 4 Se 2.86, 4 Li 2.95
5 As 0.0000 0.0000 0.0000  8 Li 2.86, 4 Se 2.95
6 As 0.5000 0.5000 0.5000  8 Li 2.86, 4 Se 2.95
7 Se 0.0000 0.0000 0.5000  8 Li 2.86, 4 As 2.95
8 Se 0.5000 0.5000 0.0000  8 Li 2.86, 4 As 2.95

Output
**Total magnetization**: 0.000 μB/cell
**Volume**: 17.08 Å³/atom

Stability summary: most stable (ii), least stable (i).

(i)
Compound: LiSiAs2Se
Source: Alexandria via LeMat-Bulk
Functional: PBE
Structure: optimized geometry

Unit cell a=4.4442 b=4.4442 c=5.0500 alpha=90.00 beta=90.00 gamma=90.00
With the nearest neighbours (Å) after each atom.
Sites, in units of the cell vectors:
1 Li 0.0000 0.0000 0.0000  4 As 2.22
2 Si 0.5000 0.5000 0.5000  4 Se 3.14, 8 As 3.36
3 As 0.0000 0.5000 0.0000  2 Li 2.22
4 As 0.5000 0.0000 0.0000  2 Li 2.22
5 Se 0.0000 0.0000 0.5000  2 Li 2.53

Output
**Total magnetization**: 0.000 μB/cell
**Volume**: 19.95 Å³/atom

(ii)
Compound: LiSiAs2Se
Source: Alexandria via LeMat-Bulk
Functional: PBE
Structure: optimized geometry

Unit cell a=4.8041 b=4.8041 c=5.0074 alpha=90.00 beta=90.00 gamma=90.00
With the nearest neighbours (Å) after each atom.
Sites, in units of the cell vectors:
1 Li 0.0000 0.0000 0.0000  4 Se 3.40, 8 As 3.47
2 Si 0.5000 0.5000 0.5000  4 As 2.40, 2 Se 2.50
3 As 0.0000 0.5000 0.5000  2 Si 2.40
4 As 0.5000 0.0000 0.5000  2 Si 2.40
5 Se 0.5000 0.5000 0.0000  2 Si 2.50

Output
**Total magnetization**: 0.000 μB/cell
**Volume**: 23.11 Å³/atom

Stability summary: most stable (ii), least stable (i).

(i)
Compound: LiSiAsSe2
Source: Alexandria via LeMat-Bulk
Functional: PBE
Structure: optimized geometry

Unit cell a=4.8249 b=4.8249 c=4.3566 alpha=90.00 beta=90.00 gamma=90.00
With the nearest neighbours (Å) after each atom.
Sites, in units of the cell vectors:
1 Li 0.0000 0.0000 0.0000  2 As 2.18, 4 Se 2.41
2 Si 0.5000 0.5000 0.5000  8 Se 3.25, 4 As 3.41
3 As 0.0000 0.0000 0.5000  2 Li 2.18
4 Se 0.0000 0.5000 0.0000  2 Li 2.41
5 Se 0.5000 0.0000 0.0000  2 Li 2.41

Output
**Total magnetization**: 0.000 μB/cell
**Volume**: 20.28 Å³/atom

(ii)
Compound: LiSiAsSe2
Source: Alexandria via LeMat-Bulk
Functional: PBE
Structure: optimized geometry

Unit cell a=4.9987 b=4.9987 c=4.6969 alpha=90.00 beta=90.00 gamma=90.00
With the nearest neighbours (Å) after each atom.
Sites, in units of the cell vectors:
1 Li 0.0000 0.0000 0.0000  8 Se 3.43, 4 As 3.53
2 Si 0.5000 0.5000 0.5000  2 As 2.35, 4 Se 2.50
3 As 0.5000 0.5000 0.0000  2 Si 2.35
4 Se 0.0000 0.5000 0.5000  2 Si 2.50
5 Se 0.5000 0.0000 0.5000  2 Si 2.50

Output
**Total magnetization**: 0.000 μB/cell
**Volume**: 23.47 Å³/atom

Stability summary: most stable (ii), least stable (i).

(i)
Compound: SrLiAsSe2
Source: Alexandria via LeMat-Bulk
Functional: PBE
Structure: optimized geometry

Unit cell a=5.0639 b=5.0639 c=4.5222 alpha=90.00 beta=90.00 gamma=90.00
With the nearest neighbours (Å) after each atom.
Sites, in units of the cell vectors:
1 Sr 0.0000 0.0000 0.0000  8 Se 3.39, 4 As 3.58
2 Li 0.5000 0.5000 0.5000  2 As 2.26, 4 Se 2.53
3 As 0.5000 0.5000 0.0000  2 Li 2.26
4 Se 0.0000 0.5000 0.5000  2 Li 2.53
5 Se 0.5000 0.0000 0.5000  2 Li 2.53

Output
**Total magnetization**: 0.000 μB/cell
**Volume**: 23.19 Å³/atom

(ii)
Compound: SrLiAsSe2
Source: Alexandria via LeMat-Bulk
Functional: PBE
Structure: optimized geometry

Unit cell a=5.8538 b=5.8538 c=5.9045 alpha=90.00 beta=90.00 gamma=90.00
With the nearest neighbours (Å) after each atom.
Sites, in units of the cell vectors:
1 Sr 0.0000 0.0000 0.0000  4 Se 2.93, 2 As 2.95
2 Li 0.5000 0.5000 0.5000  4 As 4.14, 8 Se 4.16
3 As 0.0000 0.0000 0.5000  2 Sr 2.95
4 Se 0.0000 0.5000 0.0000  2 Sr 2.93
5 Se 0.5000 0.0000 0.0000  2 Sr 2.93

Output
**Total magnetization**: 2.807 μB/cell
**Volume**: 40.47 Å³/atom

Stability summary: most stable (i), least stable (ii).